(1)
The following is a DFT calculation (PBE-GGA) of a geometry-optimized SrHfPt2 structure.

Cell: 6.9424 6.9424 6.9424 Å, 90.00 90.00 90.00°
Closest atoms and distances in Å follow each position.
Element x y z (fractional)
Sr 0.0000 0.0000 0.0000  8 Pt 3.01
Sr 0.0000 0.5000 0.5000  8 Pt 3.01
Sr 0.5000 0.0000 0.5000  8 Pt 3.01
Sr 0.5000 0.5000 0.0000  8 Pt 3.01
Hf 0.0000 0.0000 0.5000  8 Pt 3.01
Hf 0.0000 0.5000 0.0000  8 Pt 3.01
Hf 0.5000 0.0000 0.0000  8 Pt 3.01
Hf 0.5000 0.5000 0.5000  8 Pt 3.01
Pt 0.2500 0.2500 0.2500  4 Hf 3.01, 4 Sr 3.01
Pt 0.2500 0.2500 0.7500  4 Hf 3.01, 4 Sr 3.01
Pt 0.2500 0.7500 0.2500  4 Hf 3.01, 4 Sr 3.01
Pt 0.2500 0.7500 0.7500  4 Hf 3.01, 4 Sr 3.01
Pt 0.7500 0.2500 0.2500  4 Hf 3.01, 4 Sr 3.01
Pt 0.7500 0.2500 0.7500  4 Hf 3.01, 4 Sr 3.01
Pt 0.7500 0.7500 0.2500  4 Hf 3.01, 4 Sr 3.01
Pt 0.7500 0.7500 0.7500  4 Hf 3.01, 4 Sr 3.01

Results
The value obtained for the calculated volume is 83.7 Å³/f.u. As for the formation energy: -0.618 eV per atom. The total DFT energy (no corrections) comes out at -6.547 eV/atom. The space group is Fm-3m. For the excess energy over the best structure of this formula in the dataset, the calculation gives 338 meV per atom.

=====

(2)
The following is a DFT calculation (PBE-GGA) of a geometry-optimized SrHf2Pt2 structure.

Cell: 8.1551 8.1551 3.1700 Å, 90.00 90.00 90.00°
Closest atoms and distances in Å follow each position.
Element x y z (fractional)
Sr 0.0000 0.0000 0.0000  4 Hf 3.14, 2 Sr 3.17, 8 Pt 3.49
Sr 0.5000 0.5000 0.0000  4 Hf 3.14, 2 Sr 3.17, 8 Pt 3.49
Hf 0.1428 0.3572 0.0000  6 Pt 2.85-2.89, 2 Sr 3.14, 2 Hf 3.17
Hf 0.3572 0.8572 0.0000  6 Pt 2.85-2.89, 2 Sr 3.14, 2 Hf 3.17
Hf 0.6428 0.1428 0.0000  6 Pt 2.85-2.89, 2 Sr 3.14, 2 Hf 3.17
Hf 0.8572 0.6428 0.0000  6 Pt 2.85-2.89, 2 Sr 3.14, 2 Hf 3.17
Pt 0.1481 0.6481 0.5000  6 Hf 2.85-2.89, 2 Pt 3.17
Pt 0.3519 0.1481 0.5000  6 Hf 2.85-2.89, 2 Pt 3.17
Pt 0.6481 0.8519 0.5000  6 Hf 2.85-2.89, 2 Pt 3.17
Pt 0.8519 0.3519 0.5000  6 Hf 2.85-2.89, 2 Pt 3.17

Results
The value obtained for the calculated volume is 105.4 Å³/f.u. As for the formation energy: -0.617 eV per atom. The total DFT energy (no corrections) comes out at -7.351 eV/atom. The space group is P4/mbm. For the excess energy over the best structure of this formula in the dataset, the calculation gives 250 meV per atom.

=====

(3)
The following is a DFT calculation (PBE-GGA) of a geometry-optimized SrHfPt2W structure.

Cell: 4.9093 4.9093 5.1509 Å, 90.00 90.00 90.00°
Closest atoms and distances in Å follow each position.
Element x y z (fractional)
Sr 0.0000 0.0000 0.0000  2 W 2.58
Hf 0.5000 0.5000 0.0000  4 Sr 3.47, 8 Pt 3.56
Pt 0.0000 0.5000 0.5000  2 W 2.45
Pt 0.5000 0.0000 0.5000  2 W 2.45
W 0.0000 0.0000 0.5000  4 Pt 2.45, 2 Sr 2.58

Results
The value obtained for the calculated volume is 124.1 Å³/f.u. As for the formation energy: 1.120 eV per atom. The total DFT energy (no corrections) comes out at -6.214 eV/atom. The space group is P4/mmm.

=====

(4)
The following is a DFT calculation (PBE-GGA) of a geometry-optimized HfTa3Pt structure.

Cell: 4.8206 4.8206 4.8206 Å, 90.00 90.00 90.00°
Closest atoms and distances in Å follow each position.
Element x y z (fractional)
Hf 0.0000 0.0000 0.0000  6 Ta 2.41
Ta 0.0000 0.0000 0.5000  2 Hf 2.41
Ta 0.0000 0.5000 0.0000  2 Hf 2.41
Ta 0.5000 0.0000 0.0000  2 Hf 2.41
Pt 0.5000 0.5000 0.5000  12 Ta 3.41

Results
The value obtained for the calculated volume is 112.0 Å³/f.u. As for the formation energy: 1.939 eV per atom. The total DFT energy (no corrections) comes out at -8.371 eV/atom. The space group is Pm-3m. For the excess energy over the best structure of this formula in the dataset, the calculation gives 901 meV per atom.

=====

(5)
The following is a DFT calculation (PBE-GGA) of a geometry-optimized HfTa3Pt structure.

Cell: 4.8816 4.8816 4.8816 Å, 90.00 90.00 90.00°
Closest atoms and distances in Å follow each position.
Element x y z (fractional)
Hf 0.0000 0.0000 0.0000  12 Ta 3.45
Ta 0.0000 0.5000 0.5000  2 Pt 2.44
Ta 0.5000 0.0000 0.5000  2 Pt 2.44
Ta 0.5000 0.5000 0.0000  2 Pt 2.44
Pt 0.5000 0.5000 0.5000  6 Ta 2.44

Results
The value obtained for the calculated volume is 116.3 Å³/f.u. As for the formation energy: 1.038 eV per atom. The total DFT energy (no corrections) comes out at -9.272 eV/atom. The space group is Pm-3m. For the excess energy over the best structure of this formula in the dataset, the calculation gives 0 meV per atom.

=====

(6)
The following is a DFT calculation (PBE-GGA) of a geometry-optimized HfTaPt3 structure.

Cell: 7.3818 7.3818 5.3166 Å, 94.33 94.33 138.79°
Closest atoms and distances in Å follow each position.
Element x y z (fractional)
Hf 0.1787 0.8213 0.7500  6 Pt 2.65-2.80
Hf 0.8213 0.1787 0.2500  6 Pt 2.65-2.80
Ta 0.4865 0.5135 0.2500  4 Pt 2.66-2.77, 2 Ta 2.68
Ta 0.5135 0.4865 0.7500  4 Pt 2.66-2.77, 2 Ta 2.68
Pt 0.0000 0.0000 0.0000  4 Pt 2.66-2.81, 2 Ta 2.66, 2 Hf 2.80
Pt 0.0000 0.0000 0.5000  4 Pt 2.66-2.81, 2 Ta 2.66, 2 Hf 2.80
Pt 0.1107 0.4282 0.8512  2 Hf 2.65-2.79, 1 Ta 2.77, 3 Pt 2.78-2.83
Pt 0.4282 0.1107 0.3512  2 Hf 2.65-2.79, 1 Ta 2.77, 3 Pt 2.78-2.83
Pt 0.5718 0.8893 0.6488  2 Hf 2.65-2.79, 1 Ta 2.77, 3 Pt 2.78-2.83
Pt 0.8893 0.5718 0.1488  2 Hf 2.65-2.79, 1 Ta 2.77, 3 Pt 2.78-2.83

Results
The value obtained for the calculated volume is 93.2 Å³/f.u. As for the formation energy: -0.516 eV per atom. The total DFT energy (no corrections) comes out at -8.502 eV/atom. The space group is C2/c. For the excess energy over the best structure of this formula in the dataset, the calculation gives 0 meV per atom.

=====

(7)
The following is a DFT calculation (PBE-GGA) of a geometry-optimized HfTa2Pt structure.

Cell: 6.5811 6.5811 6.5811 Å, 90.00 90.00 90.00°
Closest atoms and distances in Å follow each position.
Element x y z (fractional)
Hf 0.0000 0.0000 0.0000  8 Ta 2.85
Hf 0.0000 0.5000 0.5000  8 Ta 2.85
Hf 0.5000 0.0000 0.5000  8 Ta 2.85
Hf 0.5000 0.5000 0.0000  8 Ta 2.85
Ta 0.2500 0.2500 0.2500  4 Hf 2.85, 4 Pt 2.85
Ta 0.2500 0.2500 0.7500  4 Hf 2.85, 4 Pt 2.85
Ta 0.2500 0.7500 0.2500  4 Hf 2.85, 4 Pt 2.85
Ta 0.2500 0.7500 0.7500  4 Hf 2.85, 4 Pt 2.85
Ta 0.7500 0.2500 0.2500  4 Hf 2.85, 4 Pt 2.85
Ta 0.7500 0.2500 0.7500  4 Hf 2.85, 4 Pt 2.85
Ta 0.7500 0.7500 0.2500  4 Hf 2.85, 4 Pt 2.85
Ta 0.7500 0.7500 0.7500  4 Pt 2.85, 4 Hf 2.85
Pt 0.0000 0.0000 0.5000  8 Ta 2.85
Pt 0.0000 0.5000 0.0000  8 Ta 2.85
Pt 0.5000 0.0000 0.0000  8 Ta 2.85
Pt 0.5000 0.5000 0.5000  8 Ta 2.85

Results
The value obtained for the calculated volume is 71.3 Å³/f.u. As for the formation energy: -0.152 eV per atom. The total DFT energy (no corrections) comes out at -10.077 eV/atom. The space group is Fm-3m. For the excess energy over the best structure of this formula in the dataset, the calculation gives 0 meV per atom.

=====

(8)
The following is a DFT calculation (PBE-GGA) of a geometry-optimized HfTa2Pt2 structure.

Cell: 3.9212 3.9212 12.4704 Å, 90.00 90.00 90.00°
Closest atoms and distances in Å follow each position.
Element x y z (fractional)
Hf 0.0000 0.0000 0.0000  8 Pt 3.05
Hf 0.5000 0.5000 0.5000  8 Pt 3.05
Ta 0.0000 0.5000 0.2500  4 Pt 2.70, 4 Ta 2.77
Ta 0.0000 0.5000 0.7500  4 Pt 2.70, 4 Ta 2.77
Ta 0.5000 0.0000 0.2500  4 Pt 2.70, 4 Ta 2.77
Ta 0.5000 0.0000 0.7500  4 Pt 2.70, 4 Ta 2.77
Pt 0.0000 0.0000 0.3986  1 Pt 2.53, 4 Ta 2.70
Pt 0.0000 0.0000 0.6014  1 Pt 2.53, 4 Ta 2.70
Pt 0.5000 0.5000 0.1014  1 Pt 2.53, 4 Ta 2.70
Pt 0.5000 0.5000 0.8986  1 Pt 2.53, 4 Ta 2.70

Results
The value obtained for the calculated volume is 95.9 Å³/f.u. As for the formation energy: -0.333 eV per atom. The total DFT energy (no corrections) comes out at -9.481 eV/atom. The space group is I4/mmm. For the excess energy over the best structure of this formula in the dataset, the calculation gives 142 meV per atom.